Entry 1:
The following is a GGA-PBEsol calculation of ZnRh2Br after structural relaxation, from Alexandria.

Offset from the most stable computed form, kcal/mol of atoms: 3.014
Volume, Å³ per cell: 60.9
Space-group type: Cmmm (65)

Lattice parameters (Å, degrees): 2.8745 2.8904 8.4497 90.00 90.00 119.82
Positions (direct):
Rh (0.0000, 0.0000, 0.2581)
Rh (0.0000, 0.0000, 0.7419)
Br (0.5000, 0.0000, 0.0000)
Zn (0.5000, 0.0000, 0.5000)

=====

Entry 2:
The following is a GGA-PBEsol calculation of TeAu3 after structural relaxation, from Alexandria.

Volume, Å³ per cell: 77.3
Space-group type: P4/mmm (123)

Lattice parameters (Å, degrees): 3.6922 3.6922 5.6687 90.00 90.00 90.00
Positions (direct):
Au (0.5000, 0.5000, 0.0000)
Au (0.0000, 0.0000, 0.2417)
Au (0.0000, 0.0000, 0.7583)
Te (0.5000, 0.5000, 0.5000)

=====

Entry 3:
The following is a GGA-PBEsol calculation of BePbO2 after structural relaxation, from Alexandria.

Offset from the most stable computed form, kcal/mol of atoms: 18.184
Volume, Å³ per cell: 48.2
Space-group type: Fm-3m (225)

Lattice parameters (Å, degrees): 4.0846 4.0846 4.0846 60.00 60.00 60.00
Positions (direct):
Pb (0.5000, 0.5000, 0.5000)
Be (0.0000, 0.0000, 0.0000)
O (0.7500, 0.7500, 0.7500)
O (0.2500, 0.2500, 0.2500)

=====

Entry 4:
The following is a GGA-PBEsol calculation of NaTlN3 after structural relaxation, from Alexandria.

Volume, Å³ per cell: 91.0
Space-group type: Pm-3m (221)

Lattice parameters (Å, degrees): 4.4974 4.4974 4.4974 90.00 90.00 90.00
Each line ends with the local moment (μB).
Positions (direct):
Tl (0.5000, 0.5000, 0.5000)  0.11
Na (0.0000, 0.0000, 0.0000)  0.03
N (0.5000, 0.0000, 0.0000)  1.54
N (0.0000, 0.5000, 0.0000)  1.54
N (0.0000, 0.0000, 0.5000)  1.54

=====

Number 1: DOS at the Fermi energy 0.83 states/eV/atom, energy -18.42 eV for the cell shown, formation energy from raw total energies 0.3267 eV per atom. Number 2: DOS at the Fermi energy 0.50 states/eV/atom, energy -14.69 eV for the cell shown, formation energy from raw total energies 0.1514 eV per atom. Number 3: DOS at the Fermi energy 0.17 states/eV/atom, energy -19.46 eV for the cell shown, formation energy from raw total energies -0.2396 eV per atom. Number 4: DOS at the Fermi energy 0.68 states/eV/atom, energy -17.65 eV for the cell shown, formation energy from raw total energies 2.3922 eV per atom.